[1]
Density functional theory data (PBEsol) for crystalline Mn2CoP at its relaxed geometry.

Cell: 2.6569 3.8500 4.6603 Å, 114.40 106.56 90.00°
Atoms (fractional coordinates):
P 0.0000 0.5000 0.0000
Mn 0.2811 0.2811 0.5623
Mn 0.7189 0.7189 0.4377
Co 0.5000 0.0000 0.0000

Values from the calculation:
The formation energy is -22.0 kJ/mol of atoms. As for the magnetization: 0.00 μB per formula unit. For the electronic total energy, the calculation gives -33.96 eV per cell.


[2]
Density functional theory data (PBEsol) for crystalline W2C at its relaxed geometry.

Cell: 3.0105 5.0730 5.4678 Å, 82.89 74.02 72.74°
Atoms (fractional coordinates):
C 0.8100 0.2539 0.1262
C 0.1900 0.7461 0.8738
W 0.8168 0.7662 0.6003
W 0.1832 0.2338 0.3997
W 0.4200 0.3025 0.8576
W 0.5800 0.6975 0.1424

Values from the calculation:
The formation energy is 18.0 kJ/mol of atoms. As for the magnetization: 0.00 μB per formula unit. For the electronic total energy, the calculation gives -73.40 eV per cell.


[3]
Density functional theory data (PBEsol) for crystalline InCoMo2 at its relaxed geometry.

Cell: 2.7991 2.7991 9.1196 Å, 81.17 81.17 60.00°
Last column: magnetic moment on the atom in μB.
Atoms (fractional coordinates):
Mo 0.7586 0.7586 0.7242  0.01
Mo 0.2414 0.2414 0.2758  0.01
Co 0.5000 0.5000 0.5000  0.73
In 0.0000 0.0000 0.0000  0.00

Values from the calculation:
The formation energy is 41.1 kJ/mol of atoms. As for the magnetization: 0.76 μB per formula unit. For the electronic total energy, the calculation gives -32.55 eV per cell.


[4]
Density functional theory data (PBEsol) for crystalline Sr5Ti5O13 at its relaxed geometry.

Cell: 5.5335 6.7656 8.6797 Å, 75.04 71.68 89.58°
Last column: magnetic moment on the atom in μB.
Atoms (fractional coordinates):
O 0.1123 0.4015 0.7880  0.01
O 0.8051 0.2031 0.4093  -0.01
O 0.7819 0.7053 0.9003  0.00
O 0.1949 0.7969 0.5907  -0.01
O 0.5823 0.9369 0.2816  0.01
O 0.4177 0.0631 0.7184  0.01
O 0.6172 0.3809 0.7951  0.00
O 0.0000 0.0000 0.0000  -0.01
O 0.2181 0.2947 0.0997  0.00
O 0.3828 0.6191 0.2049  0.00
O 0.7066 0.7793 0.5778  0.00
O 0.2934 0.2207 0.4222  0.00
O 0.8877 0.5985 0.2120  0.01
Ti 0.7034 0.7963 0.1097  0.49
Ti 0.2966 0.2037 0.8903  0.49
Ti 0.1083 0.3946 0.2946  0.48
Ti 0.5000 0.0000 0.5000  0.34
Ti 0.8917 0.6054 0.7054  0.48
Sr 0.9044 0.0930 0.6975  0.03
Sr 0.0956 0.9070 0.3025  0.03
Sr 0.5000 0.5000 0.5000  0.04
Sr 0.7047 0.3052 0.1014  0.02
Sr 0.2953 0.6948 0.8986  0.02

Values from the calculation:
As for the magnetization: 3.65 μB per formula unit. For the electronic total energy, the calculation gives -187.94 eV per cell.


[5]
Density functional theory data (PBEsol) for crystalline SbAsI2N at its relaxed geometry.

Cell: 4.8781 4.8781 4.7573 Å, 90.00 90.00 90.00°
Atoms (fractional coordinates):
N 0.0000 0.0000 0.0000
Sb 0.0000 0.0000 0.5000
I 0.0000 0.5000 0.0000
I 0.5000 0.0000 0.0000
As 0.5000 0.5000 0.5000

Values from the calculation:
As for the magnetization: 0.00 μB per formula unit. For the offset from the most stable computed form, the calculation gives 0 meV/atom. For the electronic total energy, the calculation gives -17.15 eV per cell.


[6]
Density functional theory data (PBEsol) for crystalline LaPSe2 at its relaxed geometry.

Cell: 3.6836 4.0113 6.3090 Å, 107.01 90.00 90.00°
Atoms (fractional coordinates):
La 0.5000 0.5000 0.5000
Se 0.0000 0.1338 0.7625
Se 0.0000 0.8662 0.2375
P 0.5000 0.5000 0.0000

Values from the calculation:
As for the magnetization: 0.00 μB per formula unit. For the electronic total energy, the calculation gives -22.69 eV per cell.


[7]
Density functional theory data (PBEsol) for crystalline TiCuHg2S at its relaxed geometry.

Cell: 4.6417 5.1951 5.1951 Å, 90.00 90.00 90.00°
Last column: magnetic moment on the atom in μB.
Atoms (fractional coordinates):
Cu 0.5000 0.0000 0.0000  0.02
Ti 0.0000 0.0000 0.0000  1.00
Hg 0.0000 0.0000 0.5000  0.02
Hg 0.0000 0.5000 0.0000  0.02
S 0.5000 0.5000 0.5000  -0.27

Values from the calculation:
As for the magnetization: 0.86 μB per formula unit. For the electronic total energy, the calculation gives -12.82 eV per cell.


[8]
Density functional theory data (PBEsol) for crystalline Hg2RhW at its relaxed geometry.

Cell: 2.8606 5.0879 5.0879 Å, 113.52 90.00 90.00°
Atoms (fractional coordinates):
Hg 0.0000 0.5000 0.0000
Hg 0.0000 0.0000 0.5000
W 0.5000 0.5000 0.5000
Rh 0.5000 0.0000 0.0000

Values from the calculation:
The formation energy is 59.2 kJ/mol of atoms. As for the magnetization: 0.00 μB per formula unit. For the offset from the most stable computed form, the calculation gives 98 meV/atom. For the electronic total energy, the calculation gives -20.63 eV per cell.